(1)
Entry from Alexandria: a relaxed structure of V2AsOs2 (PBE).

extended XYZ file:
```
10
Lattice="7.312 0.000 0.000 0.000 7.312 0.000 0.000 0.000 2.851" Properties=species:S:1:pos:R:3 pbc="T T T"
As 0.000 0.000 0.000
As 3.656 3.656 0.000
Os 2.644 6.300 0.000
Os 6.300 4.669 0.000
Os 4.669 1.013 0.000
Os 1.013 2.644 0.000
V 1.109 4.765 1.426
V 4.765 6.204 1.426
V 6.204 2.548 1.426
V 2.548 1.109 1.426
```

energy above the most stable polymorph in this dataset: 0 meV/atom
space-group type: P4/mbm (127)
energy of formation: 0.071 eV/atom
N(E_F): 0.667 states/eV/atom


(2)
Entry from Alexandria: a relaxed structure of LaBeRe2 (PBE).

extended XYZ file:
```
4
Lattice="3.118 0.000 0.000 0.000 3.118 0.000 0.000 0.000 7.196" Properties=species:S:1:pos:R:3 pbc="T T T"
Re 0.000 0.000 0.639
Re 0.000 0.000 2.959
Be 1.559 1.559 1.799
La 1.559 1.559 5.397
```

space-group type: P4/mmm (123)
energy of formation: 0.381 eV/atom
N(E_F): 0.634 states/eV/atom


(3)
Entry from Alexandria: a relaxed structure of NdHo4Hg2 (PBE).

extended XYZ file:
```
7
Lattice="-2.033 4.288 -1.648 -1.470 0.406 -4.786 -10.536 -1.883 0.439" Properties=species:S:1:pos:R:3 pbc="T T T"
Nd -7.019 1.406 -2.998
Ho -11.867 1.616 -4.127
Ho -6.456 3.607 -5.620
Ho -2.171 1.195 -1.868
Ho -7.582 -0.796 -0.375
Hg -4.152 2.461 -3.788
Hg -9.886 0.350 -2.207
```

space-group type: R-3m (166)
energy of formation: 0.026 eV/atom
N(E_F): 1.317 states/eV/atom


(4)
Entry from Alexandria: a relaxed structure of PmAsBr6 (PBE).

extended XYZ file:
```
8
Lattice="-6.072 0.601 -4.347 6.992 -1.103 -2.454 -1.170 -6.348 2.361" Properties=species:S:1:pos:R:3 pbc="T T T"
Pm 0.000 0.000 0.000
As -0.125 -3.425 -2.220
Br -0.629 -4.825 -0.002
Br -1.929 -1.589 -1.468
Br 0.379 -2.025 -4.437
Br -2.049 -4.775 -3.511
Br 1.679 -5.261 -2.972
Br 1.798 -2.075 -0.928
```

space-group type: C2/m (12)
N(E_F): 0.000 states/eV/atom
formation energy without anion corrections: -1.075 eV/atom


(5)
Entry from Alexandria: a relaxed structure of ScTi2InO (PBE).

extended XYZ file:
```
5
Lattice="4.186 0.000 0.000 0.000 4.186 0.000 0.000 0.000 4.524" Properties=species:S:1:pos:R:3 pbc="T T T"
Sc 0.000 0.000 2.262
Ti 0.000 2.093 0.000
Ti 2.093 0.000 0.000
O 0.000 0.000 0.000
In 2.093 2.093 2.262
```

space-group type: P4/mmm (123)
N(E_F): 1.062 states/eV/atom
formation energy without anion corrections: -1.210 eV/atom


(6)
Entry from Alexandria: a relaxed structure of Ca5Tb3Tm12 (PBE).

extended XYZ file:
```
80
Lattice="16.841 0.000 0.000 -5.614 15.877 0.000 -5.614 -7.939 13.750" Properties=species:S:1:pos:R:3 pbc="T T T"
Tb 9.824 4.962 1.719
Tb 9.824 10.916 1.719
Tb -1.403 6.946 8.594
Tb 1.403 -0.992 5.156
Tb 12.630 0.000 3.438
Tb 1.403 7.939 3.438
Tb 4.210 0.000 10.313
Tb -7.017 7.939 10.313
Tb 4.210 8.931 8.594
Tb 7.017 0.992 5.156
Tb -4.210 -2.977 12.032
Tb -4.210 2.977 12.032
Ca -1.403 3.969 3.438
Ca -2.807 7.939 0.000
Ca 0.000 0.000 0.000
Ca 4.210 2.977 1.719
Ca 5.614 -3.969 6.875
Ca 5.614 7.939 0.000
Ca -4.210 8.931 5.156
Ca 7.017 -4.962 12.032
Ca 7.017 6.946 5.156
Ca 1.403 -3.969 10.313
Ca 4.210 11.908 3.438
Ca 2.807 3.969 6.875
Ca 8.420 0.000 0.000
Ca -2.807 -3.969 6.875
Ca -1.403 0.992 8.594
Ca -1.403 12.900 1.719
Ca -5.614 3.969 6.875
Ca 9.824 -0.992 8.594
Ca 1.403 4.962 12.032
Ca 7.017 3.969 10.313
Tm 10.958 1.679 1.213
Tm 0.269 5.860 6.027
Tm 11.874 3.416 3.712
Tm 7.773 2.463 2.061
Tm 2.069 6.496 8.826
Tm 11.406 7.792 1.951
Tm -0.647 8.892 5.772
Tm -4.966 13.414 2.061
Tm 0.737 9.381 8.826
Tm 8.242 8.086 1.951
Tm 8.689 3.759 4.814
Tm 8.689 14.198 1.213
Tm -4.876 6.922 8.088
Tm 2.985 6.323 1.103
Tm -5.882 12.119 4.814
Tm 3.075 -2.079 7.723
Tm -0.737 0.426 3.164
Tm 2.985 9.702 0.848
Tm 7.773 12.461 3.712
Tm -0.179 6.176 0.848
Tm -3.544 8.365 10.587
Tm 3.454 6.986 5.772
Tm 7.683 8.955 8.088
Tm 5.792 -1.616 12.648
Tm 2.159 0.953 7.978
Tm -2.069 -1.017 5.662
Tm -0.179 9.555 1.103
Tm -2.159 -4.523 10.039
Tm 9.158 -0.426 3.164
Tm 5.792 1.763 12.902
Tm 2.628 -1.763 12.902
Tm 2.538 10.018 6.027
Tm 6.351 7.513 10.587
Tm 11.496 -4.180 8.936
Tm 10.490 1.017 5.662
Tm -3.075 -6.259 12.537
Tm 2.628 1.616 12.648
Tm 4.876 -1.443 4.924
Tm -2.628 -0.147 11.800
Tm -3.075 4.180 8.936
Tm 10.580 -5.476 11.689
Tm 6.261 -0.953 7.978
Tm -2.159 5.476 11.689
Tm -5.792 0.147 11.800
Tm 3.544 1.443 4.924
Tm -6.261 4.523 10.039
Tm 5.345 2.079 7.723
Tm -5.345 6.259 12.537
```

space-group type: Ia-3d (230)
energy of formation: 0.934 eV/atom
N(E_F): 1.973 states/eV/atom


(7)
Entry from Alexandria: a relaxed structure of KCrTe2 (PBE).

extended XYZ file:
```
4
Lattice="-6.173 -4.140 -4.799 -3.485 -3.619 -7.282 0.646 -5.001 -0.350" Properties=species:S:1:pos:R:3 pbc="T T T"
Cr -3.949 -5.392 -5.405
K -1.759 -3.300 -2.596
Te -0.374 -0.698 -0.551
Te -7.435 -9.750 -10.094
```

space-group type: Cm (8)
N(E_F): 0.801 states/eV/atom
formation energy without anion corrections: -0.307 eV/atom


(8)
Entry from Alexandria: a relaxed structure of TeClO (PBE).

extended XYZ file:
```
6
Lattice="5.760 -0.196 -0.446 1.670 6.954 0.959 2.473 3.103 3.630" Properties=species:S:1:pos:R:3 pbc="T T T"
O 8.437 5.664 2.848
O 1.465 4.198 1.295
Te 1.932 2.386 0.690
Te 7.971 7.475 3.454
Cl 5.929 6.862 1.812
Cl 3.973 2.999 2.332
```

energy above the most stable polymorph in this dataset: 0 meV/atom
space-group type: P-1 (2)
formation energy without anion corrections: -0.643 eV/atom


(9)
Entry from Alexandria: a relaxed structure of AcPr8Ho3 (PBE).

extended XYZ file:
```
12
Lattice="7.364 0.495 -5.056 -3.158 8.263 -1.336 -1.729 -0.495 8.764" Properties=species:S:1:pos:R:3 pbc="T T T"
Ac 5.635 0.000 3.708
Pr 2.453 2.457 -0.958
Pr 0.025 5.804 3.328
Pr 4.297 6.301 -3.761
Pr -1.821 1.964 6.134
Pr -0.522 3.503 0.795
Pr 5.385 0.967 -2.050
Pr 3.000 4.760 1.578
Pr -2.910 7.296 4.421
Ho 1.053 6.048 -1.600
Ho 1.424 2.215 3.972
Ho 4.921 4.379 -1.342
```

space-group type: Immm (71)
energy of formation: 0.339 eV/atom
N(E_F): 1.512 states/eV/atom


(10)
Entry from Alexandria: a relaxed structure of TeOsPb2 (PBE).

extended XYZ file:
```
8
Lattice="-6.393 -1.208 0.890 1.460 -5.909 2.464 -2.115 -0.927 7.781" Properties=species:S:1:pos:R:3 pbc="T T T"
Pb -4.751 -1.803 2.866
Pb -0.006 -3.999 3.539
Pb -3.529 -2.985 6.935
Pb -5.809 -7.302 8.928
Te -2.467 -3.559 1.677
Te -1.561 -5.197 5.960
Os 0.000 0.000 0.000
Os -5.487 -2.847 5.173
```

space-group type: I-42d (122)
N(E_F): 1.123 states/eV/atom
formation energy without anion corrections: 0.836 eV/atom


(11)
Entry from Alexandria: a relaxed structure of BaLiTe3 (PBE).

extended XYZ file:
```
5
Lattice="-0.688 -3.237 -5.676 4.020 -4.710 2.199 -5.152 -3.242 2.474" Properties=species:S:1:pos:R:3 pbc="T T T"
Te 2.010 -2.355 1.099
Te -2.576 -1.621 1.237
Te -0.344 -1.619 -2.838
Ba 0.000 0.000 0.000
Li -0.910 -5.595 -0.502
```

energy above the most stable polymorph in this dataset: 697 meV/atom
space-group type: Pm-3m (221)
N(E_F): 0.654 states/eV/atom
formation energy without anion corrections: -0.028 eV/atom


(12)
Entry from Alexandria: a relaxed structure of AlRuW2 (PBE).

extended XYZ file:
```
4
Lattice="3.112 0.000 0.000 0.000 4.312 0.000 0.000 0.000 4.500" Properties=species:S:1:pos:R:3 pbc="T T T"
Ru 0.000 2.156 2.250
Al 1.556 0.000 2.250
W 0.000 0.000 0.000
W 1.556 2.156 0.000
```

space-group type: Pmmm (47)
energy of formation: -0.106 eV/atom
N(E_F): 0.645 states/eV/atom


(13)
Entry from Alexandria: a relaxed structure of LaEuInSn (PBE).

extended XYZ file:
```
4
Lattice="-5.196 0.647 -1.900 -1.211 -1.271 -5.286 -3.123 -4.468 -1.145" Properties=species:S:1:pos:R:3 pbc="T T T"
Eu 0.000 0.000 0.000
In -7.147 -3.819 -6.248
Sn -2.382 -1.273 -2.083
La -4.765 -2.546 -4.165
```

space-group type: F-43m (216)
energy of formation: -0.580 eV/atom
N(E_F): 1.991 states/eV/atom


(14)
Entry from Alexandria: a relaxed structure of Zr3MoPd (PBE).

extended XYZ file:
```
5
Lattice="4.993 0.000 0.000 0.000 4.993 0.000 0.000 0.000 4.993" Properties=species:S:1:pos:R:3 pbc="T T T"
Mo 0.000 0.000 0.000
Zr 0.000 2.496 0.000
Zr 0.000 0.000 2.496
Zr 2.496 0.000 0.000
Pd 2.496 2.496 2.496
```

energy above the most stable polymorph in this dataset: 0 meV/atom
space-group type: Pm-3m (221)
energy of formation: 0.722 eV/atom
N(E_F): 1.484 states/eV/atom


(15)
Entry from Alexandria: a relaxed structure of Lu12Al3H5 (PBE).

extended XYZ file:
```
80
Lattice="12.986 0.000 0.000 -4.329 12.243 0.000 -4.329 -6.122 10.603" Properties=species:S:1:pos:R:3 pbc="T T T"
H -1.082 3.061 2.651
H -2.164 6.122 0.000
H 0.000 0.000 0.000
H 3.247 2.296 1.325
H 4.329 -3.061 5.302
H 4.329 6.122 0.000
H -3.247 6.887 3.976
H 5.411 -3.826 9.278
H 5.411 5.356 3.976
H 1.082 -3.061 7.952
H 3.247 9.183 2.651
H 2.164 3.061 5.302
H 6.493 0.000 0.000
H -2.164 -3.061 5.302
H -1.082 0.765 6.627
H -1.082 9.948 1.325
H -4.329 3.061 5.302
H 7.575 -0.765 6.627
H 1.082 3.826 9.278
H 5.411 3.061 7.952
Lu 8.632 1.269 0.174
Lu 0.025 3.845 4.290
Lu 9.827 2.962 3.102
Lu 5.324 1.856 1.185
Lu 1.681 4.431 7.328
Lu 9.369 6.120 2.026
Lu -1.169 7.228 4.287
Lu -3.159 10.388 1.185
Lu 0.483 7.812 7.328
Lu 5.782 6.123 2.026
Lu 6.518 3.545 4.116
Lu 6.518 10.975 0.174
Lu -3.846 5.501 5.475
Lu 2.876 4.368 1.014
Lu -4.354 8.699 4.116
Lu 2.189 -2.276 6.313
Lu -0.483 1.070 2.200
Lu 2.876 7.877 1.012
Lu 5.324 9.281 3.102
Lu -0.711 4.366 1.012
Lu -2.647 7.191 8.403
Lu 3.334 5.015 4.287
Lu 6.010 6.743 5.475
Lu 5.040 -1.754 9.589
Lu 0.995 1.106 6.316
Lu -1.681 -0.621 5.128
Lu -0.711 7.876 1.014
Lu -0.995 -3.160 7.501
Lu 6.976 -1.070 2.200
Lu 5.040 1.756 9.591
Lu 1.453 -1.756 9.591
Lu 2.139 8.398 4.290
Lu 4.812 5.052 8.403
Lu 8.682 -2.577 6.487
Lu 8.174 0.621 5.128
Lu -2.189 -4.853 10.430
Lu 1.453 1.754 9.589
Lu 3.846 -1.691 3.275
Lu -1.453 -0.001 8.577
Lu -2.189 2.577 6.487
Lu 7.488 -4.266 9.418
Lu 5.498 -1.106 6.316
Lu -0.995 4.266 9.418
Lu -5.040 0.001 8.577
Lu 2.647 1.691 3.275
Lu -5.498 3.160 7.501
Lu 4.304 2.276 6.313
Lu -4.304 4.853 10.430
Al 7.575 3.826 1.325
Al 7.575 8.417 1.325
Al -1.082 5.356 6.627
Al 1.082 -0.765 3.976
Al 9.740 0.000 2.651
Al 1.082 6.122 2.651
Al 3.247 0.000 7.952
Al -5.411 6.122 7.952
Al 3.247 6.887 6.627
Al 5.411 0.765 3.976
Al -3.247 -2.296 9.278
Al -3.247 2.296 9.278
```

space-group type: Ia-3d (230)
N(E_F): 0.684 states/eV/atom
raw total energy: -4.3175 eV/atom


(16)
Entry from Alexandria: a relaxed structure of Tl2InIr (PBE).

extended XYZ file:
```
4
Lattice="3.224 0.001 0.000 -0.008 3.224 0.000 0.000 0.000 9.137" Properties=species:S:1:pos:R:3 pbc="T T T"
In 1.608 1.612 2.284
Ir 1.608 1.612 6.853
Tl 0.000 0.000 8.695
Tl 0.000 0.000 5.011
```

energy above the most stable polymorph in this dataset: 245 meV/atom
space-group type: Cmmm (65)
energy of formation: 0.335 eV/atom
N(E_F): 0.651 states/eV/atom


(17)
Entry from Alexandria: a relaxed structure of MnCr7 (PBE).

extended XYZ file:
```
8
Lattice="0.000 3.608 3.608 3.608 0.000 3.608 3.608 3.608 0.000" Properties=species:S:1:pos:R:3 pbc="T T T"
Mn 0.000 0.000 0.000
Cr 0.000 1.804 1.804
Cr 1.804 1.804 0.000
Cr 1.804 3.608 1.804
Cr 1.804 0.000 1.804
Cr 1.804 1.804 3.608
Cr 3.608 1.804 1.804
Cr 3.608 3.608 3.608
```

energy above the most stable polymorph in this dataset: 329 meV/atom
space-group type: Fm-3m (225)
energy of formation: 0.339 eV/atom
N(E_F): 1.884 states/eV/atom